VASP calculation (PBE-GGA) on Ca3InI after structural relaxation.

abc: 6.0268 6.0268 6.0268
angles: 90.00 90.00 90.00
Fractional positions:
Ca 0.0000 0.0000 0.5000
Ca 0.0000 0.5000 0.0000
Ca 0.5000 0.0000 0.0000
In 0.0000 0.0000 0.0000
I 0.5000 0.5000 0.5000

Summary:
ΔE_f (raw)   -0.3664 eV/atom
Total energy   -2.425 eV per atom
Magnetic moment   0.000 μB per atom

=====

VASP calculation (PBE-GGA) on MnCo2Os after structural relaxation.

abc: 4.0457 4.0457 4.0457
angles: 60.00 60.00 60.00
Fractional positions:
Mn 0.0000 0.0000 0.0000
Co 0.2500 0.2500 0.2500
Co 0.7500 0.7500 0.7500
Os 0.5000 0.5000 0.5000

Summary:
Total energy   -8.215 eV per atom
ΔE_f   42.25 kJ/mol of atoms
Magnetic moment   0.000 μB per atom

=====

VASP calculation (PBE-GGA) on NaCd2BiCl8 after structural relaxation.

abc: 6.2413 8.1534 6.5190
angles: 90.00 90.04 90.00
Fractional positions:
Na 0.0000 0.0000 0.0000
Cd 0.5000 0.2373 0.5000
Cd 0.5000 0.7627 0.5000
Bi 0.0000 0.5000 0.0000
Cl 0.2347 0.2572 0.8253
Cl 0.2347 0.7428 0.8253
Cl 0.2784 0.0000 0.3375
Cl 0.2792 0.5000 0.3357
Cl 0.7208 0.5000 0.6643
Cl 0.7216 0.0000 0.6625
Cl 0.7653 0.2572 0.1747
Cl 0.7653 0.7428 0.1747

Summary:
ΔE_f (raw)   -1.1516 eV/atom
Total energy   -2.969 eV per atom
Magnetic moment   0.000 μB per atom

=====

VASP calculation (PBE-GGA) on Pm15Sm4Sc after structural relaxation.

abc: 5.1370 5.1370 25.6079
angles: 90.00 90.00 90.00
Fractional positions:
Pm 0.0000 0.0000 0.0000
Pm 0.0000 0.0000 0.1967
Pm 0.0000 0.0000 0.3991
Pm 0.0000 0.0000 0.6009
Pm 0.0000 0.0000 0.8033
Pm 0.0000 0.5000 0.0959
Pm 0.0000 0.5000 0.2980
Pm 0.0000 0.5000 0.5000
Pm 0.0000 0.5000 0.7020
Pm 0.0000 0.5000 0.9041
Pm 0.5000 0.0000 0.0959
Pm 0.5000 0.0000 0.2980
Pm 0.5000 0.0000 0.5000
Pm 0.5000 0.0000 0.7020
Pm 0.5000 0.0000 0.9041
Sm 0.5000 0.5000 0.1970
Sm 0.5000 0.5000 0.3990
Sm 0.5000 0.5000 0.6010
Sm 0.5000 0.5000 0.8030
Sc 0.5000 0.5000 0.0000

Summary:
Total energy   -4.803 eV per atom
ΔE_f   1.95 kJ/mol of atoms
Magnetic moment   0.000 μB per atom

=====

VASP calculation (PBE-GGA) on NbTc after structural relaxation.

abc: 2.8159 4.5167 5.2336
angles: 90.00 101.01 90.00
Fractional positions:
Nb 0.1304 0.2500 0.3632
Nb 0.8696 0.7500 0.6368
Tc 0.3648 0.7500 0.1337
Tc 0.6352 0.2500 0.8663

Summary:
Total energy   -10.363 eV per atom
ΔE_f   -14.04 kJ/mol of atoms
Magnetic moment   0.000 μB per atom

=====

VASP calculation (PBE-GGA) on PHS after structural relaxation.

abc: 5.2316 5.5370 5.5494
angles: 60.66 74.53 86.38
Fractional positions:
P 0.2020 0.4580 0.3977
P 0.7980 0.5420 0.6023
H 0.2838 0.7450 0.1964
H 0.7162 0.2550 0.8036
S 0.1059 0.3367 0.1268
S 0.8941 0.6633 0.8732

Summary:
Total energy   -4.307 eV per atom
Magnetic moment   0.000 μB per atom

=====

VASP calculation (PBE-GGA) on LaSm2HoMg after structural relaxation.

abc: 6.2751 5.6819 9.4551
angles: 90.00 108.67 90.00
Fractional positions:
La 0.0364 0.2500 0.3884
La 0.9636 0.7500 0.6116
Sm 0.3751 0.7500 0.3921
Sm 0.4524 0.2500 0.1975
Sm 0.5476 0.7500 0.8025
Sm 0.6249 0.2500 0.6079
Ho 0.1556 0.7500 0.9981
Ho 0.8444 0.2500 0.0019
Mg 0.2312 0.2500 0.8103
Mg 0.7688 0.7500 0.1897

Summary:
Total energy   -4.089 eV per atom
ΔE_f   1.79 kJ/mol of atoms
Magnetic moment   0.000 μB per atom

=====

VASP calculation (PBE-GGA) on EuDy2Mg after structural relaxation.

abc: 3.7551 3.7551 8.9393
angles: 90.00 90.00 90.00
Fractional positions:
Eu 0.0000 0.0000 0.0000
Dy 0.5000 0.5000 0.2939
Dy 0.5000 0.5000 0.7061
Mg 0.0000 0.0000 0.5000

Summary:
Total energy   -5.247 eV per atom
ΔE_f   2.03 kJ/mol of atoms
Magnetic moment   1.852 μB per atom

=====

VASP calculation (PBE-GGA) on Pb2WBr after structural relaxation.

abc: 7.5390 7.5390 7.5390
angles: 156.21 142.48 44.91
Fractional positions:
Pb 0.1837 0.1837 0.0000
Pb 0.8163 0.8163 0.0000
W 0.0000 0.5000 0.5000
Br 0.5000 0.0000 0.5000

Summary:
ΔE_f (raw)   0.7745 eV/atom
Total energy   -4.736 eV per atom
Magnetic moment   0.000 μB per atom

=====

VASP calculation (PBE-GGA) on K6Rb2Ba after structural relaxation.

abc: 4.6731 4.6731 35.7515
angles: 90.00 90.00 120.00
Fractional positions:
K 0.0000 0.0000 0.0599
K 0.0000 0.0000 0.2853
K 0.0000 0.0000 0.7147
K 0.0000 0.0000 0.9401
K 0.3333 0.6667 0.3937
K 0.3333 0.6667 0.6063
Rb 0.3333 0.6667 0.1722
Rb 0.3333 0.6667 0.8278
Ba 0.0000 0.0000 0.5000

Summary:
Total energy   -1.124 eV per atom
ΔE_f   3.52 kJ/mol of atoms
Magnetic moment   0.000 μB per atom

=====

VASP calculation (PBE-GGA) on Ti2GaPS after structural relaxation.

abc: 4.8987 4.8987 4.2097
angles: 90.00 90.00 90.00
Fractional positions:
Ti 0.0000 0.5000 0.0000
Ti 0.5000 0.0000 0.0000
Ga 0.0000 0.0000 0.0000
P 0.0000 0.0000 0.5000
S 0.5000 0.5000 0.5000

Summary:
ΔE_f (raw)   0.6168 eV/atom
Total energy   -5.054 eV per atom
Magnetic moment   0.000 μB per atom

=====

VASP calculation (PBE-GGA) on ReTcP2 after structural relaxation.

abc: 5.2999 5.2999 5.2999
angles: 147.53 136.15 55.61
Fractional positions:
Re 0.0000 0.0000 0.0000
Tc 0.2722 0.7722 0.5000
P 0.5006 0.5006 0.0000
P 0.7818 0.2818 0.5000

Summary:
Total energy   -8.462 eV per atom
ΔE_f   -5.19 kJ/mol of atoms
Magnetic moment   0.000 μB per atom

=====

VASP calculation (PBE-GGA) on HoPdRhAu after structural relaxation.

abc: 4.6727 4.6727 4.6727
angles: 60.00 60.00 60.00
Fractional positions:
Ho 0.0000 0.0000 0.0000
Pd 0.7500 0.7500 0.7500
Rh 0.2500 0.2500 0.2500
Au 0.5000 0.5000 0.5000

Summary:
Total energy   -5.736 eV per atom
ΔE_f   -61.40 kJ/mol of atoms
Magnetic moment   0.000 μB per atom

=====

VASP calculation (PBE-GGA) on CrBPAuI after structural relaxation.

abc: 4.3242 3.3184 7.8768
angles: 90.00 102.46 90.00
Fractional positions:
Cr 0.0000 0.0000 0.0000
B 0.9114 0.5000 0.7943
P 0.7413 0.0000 0.6810
Au 0.4337 0.5000 0.8850
I 0.0927 0.5000 0.2757

Summary:
ΔE_f (raw)   0.1643 eV/atom
Total energy   -5.143 eV per atom
Magnetic moment   0.618 μB per atom

=====

VASP calculation (PBE-GGA) on ScCu2Si after structural relaxation.

abc: 8.8643 8.8643 8.8643
angles: 18.31 18.31 18.31
Fractional positions:
Sc 0.0000 0.0000 0.0000
Cu 0.2412 0.2412 0.2412
Cu 0.7588 0.7588 0.7588
Si 0.5000 0.5000 0.5000

Summary:
ΔE_f (raw)   0.1351 eV/atom
Total energy   -4.852 eV per atom
Magnetic moment   0.000 μB per atom

=====

VASP calculation (PBE-GGA) on NdNpBiO2 after structural relaxation.

abc: 7.1949 7.1949 7.1949
angles: 147.76 147.76 46.24
Fractional positions:
Nd 0.0000 0.0000 0.0000
Np 0.3201 0.3201 0.0000
Bi 0.6608 0.6608 0.0000
O 0.4013 0.9013 0.5000
O 0.9013 0.4013 0.5000

Summary:
ΔE_f (raw)   -2.2714 eV/atom
Total energy   -8.573 eV per atom
Magnetic moment   0.717 μB per atom

=====

VASP calculation (PBE-GGA) on VAsI after structural relaxation.

abc: 10.2260 10.2260 6.4031
angles: 90.00 90.00 151.11
Fractional positions:
V 0.0755 0.9245 0.9187
V 0.4245 0.5755 0.4187
V 0.5755 0.4245 0.5813
V 0.9245 0.0755 0.0813
As 0.2262 0.2738 0.7500
As 0.2738 0.2262 0.2500
As 0.7262 0.7738 0.7500
As 0.7738 0.7262 0.2500
I 0.1569 0.8431 0.5573
I 0.3431 0.6569 0.0573
I 0.6569 0.3431 0.9427
I 0.8431 0.1569 0.4427

Summary:
ΔE_f (raw)   -0.0538 eV/atom
Total energy   -5.160 eV per atom
Magnetic moment   0.682 μB per atom

=====

VASP calculation (PBE-GGA) on Os2RhCl after structural relaxation.

abc: 4.3642 4.3642 4.3642
angles: 60.00 60.00 60.00
Fractional positions:
Os 0.2500 0.2500 0.2500
Os 0.7500 0.7500 0.7500
Rh 0.0000 0.0000 0.0000
Cl 0.5000 0.5000 0.5000

Summary:
ΔE_f (raw)   1.2100 eV/atom
Total energy   -6.704 eV per atom
Magnetic moment   0.000 μB per atom

=====

VASP calculation (PBE-GGA) on Te2IrI after structural relaxation.

abc: 13.5032 13.5032 5.1910
angles: 90.00 90.00 165.24
Fractional positions:
Te 0.0392 0.9608 0.7500
Te 0.1554 0.8446 0.2500
Te 0.8446 0.1554 0.7500
Te 0.9608 0.0392 0.2500
Ir 0.0590 0.9410 0.2500
Ir 0.9410 0.0590 0.7500
I 0.3258 0.6742 0.2500
I 0.6742 0.3258 0.7500

Summary:
ΔE_f (raw)   0.2184 eV/atom
Total energy   -3.955 eV per atom
Magnetic moment   0.000 μB per atom